Entry 1:
CaCu2P (GGA-PBE, relaxed); E_tot = -3.982 eV/atom; calculated formation energy = -0.0806 eV/atom; total moment = 0.00 μB/cell; crystal system = tetragonal; calculated volume = 66.2 Å³/cell
1.0
4.5723 0.0009 0.0000
0.1820 4.5687 0.0000
-2.3771 -2.2848 3.1678
Ca Cu P
1 2 1
direct
0.7500 0.2500 0.5000 Ca
0.0000 0.0000 0.0000 Cu
0.2500 0.7500 0.5000 Cu
0.5000 0.5000 0.0000 P

=====

Entry 2:
Ca2CuP (GGA-PBE, relaxed); E_tot = -3.714 eV/atom; calculated formation energy = -0.3367 eV/atom; total moment = 0.00 μB/cell; crystal system = tetragonal; calculated volume = 88.5 Å³/cell
1.0
5.9282 0.0060 0.0000
3.0244 5.0987 0.0000
-4.4763 -2.5524 2.9312
Ca Cu P
2 1 1
direct
0.0000 0.0000 0.0000 Ca
0.2500 0.7500 0.5000 Ca
0.5000 0.5000 0.0000 Cu
0.7500 0.2500 0.5000 P

=====

Entry 3:
CaCuP (GGA-PBE, relaxed); E_tot = -4.408 eV/atom; calculated formation energy = -0.5723 eV/atom; total moment = 0.00 μB/cell; crystal system = orthorhombic; calculated volume = 120.9 Å³/cell
1.0
5.1961 0.0004 -0.0001
0.0001 5.9235 -0.0009
0.0000 0.0040 3.9286
P Ca Cu
2 2 2
direct
0.0321 0.6725 0.2483 P
0.5321 0.2105 0.7483 P
0.5321 0.8381 0.2484 Ca
0.0320 0.1888 0.2495 Ca
0.7955 0.5202 0.7490 Cu
0.2685 0.5202 0.7490 Cu

=====

Entry 4:
CaCu7P3 (GGA-PBE, relaxed); E_tot = -4.505 eV/atom; calculated formation energy = -0.2412 eV/atom; total moment = 0.00 μB/cell; crystal system = trigonal; calculated volume = 309.3 Å³/cell
1.0
6.5019 0.0000 3.5017
2.3080 6.0785 3.5017
-0.0144 -0.0099 7.8140
Ca Cu P
2 14 6
direct
0.5000 0.5000 0.5000 Ca
0.0000 0.0000 0.0000 Ca
0.6585 0.0714 0.4168 Cu
0.0714 0.8533 0.4168 Cu
0.8533 0.6585 0.4168 Cu
0.8415 0.6467 0.0832 Cu
0.4286 0.8415 0.0832 Cu
0.6467 0.4286 0.0832 Cu
0.3415 0.9286 0.5832 Cu
0.9286 0.1467 0.5832 Cu
0.1467 0.3415 0.5832 Cu
0.1585 0.3533 0.9168 Cu
0.5714 0.1585 0.9168 Cu
0.3533 0.5714 0.9168 Cu
0.7500 0.7500 0.7500 Cu
0.2500 0.2500 0.2500 Cu
0.4156 0.0844 0.7500 P
0.0844 0.7500 0.7500 P
0.7500 0.4156 0.7500 P
0.5844 0.9156 0.2500 P
0.9156 0.2500 0.2500 P
0.2500 0.5844 0.2500 P

=====

Entry 5:
CaCuP (GGA-PBE, relaxed); E_tot = -4.648 eV/atom; calculated formation energy = -0.8125 eV/atom; total moment = 0.00 μB/cell; crystal system = tetragonal; calculated volume = 112.6 Å³/cell
1.0
4.0285 0.0000 0.0010
2.0155 7.2243 0.0028
0.0003 1.1221 3.8695
P Ca Cu
2 2 2
direct
0.9489 0.7406 0.3158 P
0.6989 0.2406 0.5659 P
0.3648 0.9089 0.7317 Ca
0.1147 0.4089 0.9817 Ca
0.7816 0.0757 0.1482 Cu
0.5315 0.5757 0.3981 Cu

=====

Entry 6:
CaCu2P (GGA-PBE, relaxed); E_tot = -4.215 eV/atom; calculated formation energy = -0.3136 eV/atom; total moment = 0.00 μB/cell; crystal system = tetragonal; calculated volume = 164.2 Å³/cell
1.0
4.6472 0.0000 0.0000
0.0000 4.6472 0.0000
2.3236 2.3236 7.6019
P Ca Cu
2 2 4
direct
0.5000 0.5000 0.0000 P
0.2500 0.7500 0.5000 P
0.0000 0.0000 0.0000 Ca
0.7500 0.2500 0.5000 Ca
0.3750 0.1250 0.2500 Cu
0.3750 0.6250 0.2500 Cu
0.3750 0.6250 0.7500 Cu
0.8750 0.6250 0.7500 Cu